1.
A plane-wave DFT calculation with PBE was carried out for a geometry-optimized BaLiAu structure.

Values from the calculation:
- calculated volume (Å³/f.u.) = 86.7
- calculated total energy (eV per atom) = -2.90
- formation energy (eV/atom) = -0.5248
- energy above the most stable polymorph in this dataset (meV per atom) = 0

Lattice parameters (Å, degrees): 4.564 4.564 8.324 90.00 90.00 90.00
Atoms (fractional coordinates):
Li 0.000 0.000 0.500
Li 0.500 0.500 0.500
Au 0.000 0.500 0.302
Au 0.500 0.000 0.698
Ba 0.000 0.500 0.830
Ba 0.500 0.000 0.170


2.
A plane-wave DFT calculation with PBE was carried out for a geometry-optimized Ba3Li3Au2 structure.

Values from the calculation:
- calculated volume (Å³/f.u.) = 255.8
- calculated total energy (eV per atom) = -2.65
- formation energy (eV/atom) = -0.3912

Lattice parameters (Å, degrees): 4.619 6.502 18.224 90.00 90.00 110.81
Atoms (fractional coordinates):
Li 0.315 0.629 0.533
Li 0.315 0.629 0.967
Li 0.356 0.711 0.250
Li 0.685 0.371 0.467
Li 0.644 0.289 0.750
Li 0.685 0.371 0.033
Au 0.239 0.477 0.115
Au 0.761 0.523 0.615
Au 0.239 0.477 0.385
Au 0.761 0.523 0.885
Ba 0.050 0.101 0.893
Ba 0.339 0.678 0.750
Ba 0.950 0.899 0.107
Ba 0.050 0.101 0.607
Ba 0.661 0.322 0.250
Ba 0.950 0.899 0.393


3.
A plane-wave DFT calculation with PBE was carried out for a geometry-optimized Ba2Li2Au structure.

Values from the calculation:
- calculated volume (Å³/f.u.) = 161.4
- calculated total energy (eV per atom) = -2.45
- formation energy (eV/atom) = -0.2602
- energy above the most stable polymorph in this dataset (meV per atom) = 0

Lattice parameters (Å, degrees): 5.411 5.303 6.781 66.98 66.49 90.00
Atoms (fractional coordinates):
Li 0.767 0.500 0.000
Li 0.233 0.500 0.000
Au 0.000 0.000 0.000
Ba 0.318 0.818 0.364
Ba 0.682 0.182 0.636


4.
A plane-wave DFT calculation with PBE was carried out for a geometry-optimized BaLi5Au2 structure.

Values from the calculation:
- calculated volume (Å³/f.u.) = 183.0
- calculated total energy (eV per atom) = -2.65
- formation energy (eV/atom) = -0.3943

Lattice parameters (Å, degrees): 4.322 6.952 6.952 71.56 71.89 71.89
Atoms (fractional coordinates):
Au 0.750 0.750 0.750
Au 0.250 0.250 0.250
Li 0.668 0.153 0.511
Li 0.000 0.500 0.500
Li 0.332 0.489 0.847
Li 0.668 0.511 0.153
Li 0.332 0.847 0.489
Ba 0.000 0.000 0.000


Repeat the third record exactly.
A plane-wave DFT calculation with PBE was carried out for a geometry-optimized Ba2Li2Au structure.

Values from the calculation:
- calculated volume (Å³/f.u.) = 161.4
- calculated total energy (eV per atom) = -2.45
- formation energy (eV/atom) = -0.2602
- energy above the most stable polymorph in this dataset (meV per atom) = 0

Lattice parameters (Å, degrees): 5.411 5.303 6.781 66.98 66.49 90.00
Atoms (fractional coordinates):
Li 0.767 0.500 0.000
Li 0.233 0.500 0.000
Au 0.000 0.000 0.000
Ba 0.318 0.818 0.364
Ba 0.682 0.182 0.636


What is the formation energy in the second record?
-0.3912 eV/atom